Entry 1:
Crystalline TcRh3 at its relaxed geometry. Source: the Alexandria database, functional PBEsol.

Calculated values
- density of states at the Fermi level (states/eV/cell) = 5.03
- theoretical density (Mg/m³) = 12.5
- M_tot (μB per formula unit) = 0.00
- energy of formation from the pure elements (eV/atom) = -0.047

Cell: 3.780 3.780 3.780 Å, 90.00 90.00 90.00°
Positions (direct):
Rh: 0.000 0.000 0.500
Rh: 0.000 0.500 0.000
Tc: 0.500 0.500 0.500
Rh: 0.500 0.000 0.000

---

Entry 2:
Crystalline TcRh3 at its relaxed geometry. Source: the Alexandria database, functional PBEsol.

Calculated values
- density of states at the Fermi level (states/eV/cell) = 4.82
- theoretical density (Mg/m³) = 12.5
- M_tot (μB per formula unit) = 0.00
- energy of formation from the pure elements (eV/atom) = -0.070

Cell: 2.688 4.673 5.076 Å, 117.40 105.36 90.00°
Positions (direct):
Rh: 0.500 0.164 0.000
Rh: 0.748 0.749 0.496
Tc: 0.000 0.667 0.000
Rh: 0.252 0.253 0.504

---

What did the second record say?
Crystalline TcRh3 at its relaxed geometry. Source: the Alexandria database, functional PBEsol.

Calculated values
- density of states at the Fermi level (states/eV/cell) = 4.82
- theoretical density (Mg/m³) = 12.5
- M_tot (μB per formula unit) = 0.00
- energy of formation from the pure elements (eV/atom) = -0.070

Cell: 2.688 4.673 5.076 Å, 117.40 105.36 90.00°
Positions (direct):
Rh: 0.500 0.164 0.000
Rh: 0.748 0.749 0.496
Tc: 0.000 0.667 0.000
Rh: 0.252 0.253 0.504